# La12Pm6Sm (PBE, relaxed)
data_La12Pm6Sm
_cell_length_a 16.1188
_cell_length_b 16.1188
_cell_length_c 9.1044
_cell_angle_alpha 90.00
_cell_angle_beta 90.00
_cell_angle_gamma 120.00
_space_group_name_H-M_alt 'R -3'
_space_group_IT_number 148
_space_group_name_Hall '-R 3'
loop_
_atom_site_label
_atom_site_type_symbol
_atom_site_fract_x
_atom_site_fract_y
_atom_site_fract_z
La1 La 0.0350 0.2800 0.3342
La2 La 0.0704 0.5614 0.6665
Pm1 Pm 0.0170 0.1386 0.6662
Sm1 Sm 0.0000 0.0000 0.0000
# Energy = -276.06 eV for the cell shown
# Size of the total moment = 0.000 μB per formula unit
# Energy relative to the elements = 0.017 eV/atom